A geometry-optimized ScGaMo2 structure. Source: Alexandria, functional PBE. Values from VASP.

Structure (Quantum ESPRESSO input):
```
&SYSTEM
  ibrav = 0, nat = 8, ntyp = 3
/
ATOMIC_SPECIES
Ga 69.72 Ga.upf
Mo 95.94 Mo.upf
Sc 44.96 Sc.upf
CELL_PARAMETERS angstrom
-5.831 4.578 -0.597
-1.430 -2.704 -6.779
-5.179 -0.897 -2.630
ATOMIC_POSITIONS angstrom
Ga 0.000 0.000 0.000
Mo -2.709 -1.505 -4.948
Mo -6.556 0.126 -4.497
Sc -3.630 0.937 -3.688
Ga -7.320 2.309 -3.457
Mo -5.325 2.462 -1.899
Sc -5.119 -1.332 -6.549
Mo -10.288 0.870 -8.668
```

space-group type = I-42d
ΔE_f = 0.449 eV/atom
total magnetization = 0.000 μB per atom
DOS at the Fermi energy = 2.4 states/eV/f.u.

---

A geometry-optimized ScGa2Mo structure. Source: Alexandria, functional PBE. Values from VASP.

Structure (Quantum ESPRESSO input):
```
&SYSTEM
  ibrav = 0, nat = 4, ntyp = 3
/
ATOMIC_SPECIES
Ga 69.72 Ga.upf
Mo 95.94 Mo.upf
Sc 44.96 Sc.upf
CELL_PARAMETERS angstrom
0.149 -1.484 4.295
-2.643 -3.463 1.302
1.852 -4.044 0.945
ATOMIC_POSITIONS angstrom
Ga -0.160 -2.248 1.636
Mo -0.321 -4.495 3.272
Sc 0.000 0.000 0.000
Ga -0.481 -6.743 4.907
```

space-group type = Fm-3m
ΔE_f = -0.196 eV/atom
total magnetization = 0.000 μB per atom
DOS at the Fermi energy = 4.5 states/eV/f.u.

---

A geometry-optimized SrScGaMo2 structure. Source: Alexandria, functional PBE. Values from VASP.

Structure (Quantum ESPRESSO input):
```
&SYSTEM
  ibrav = 0, nat = 5, ntyp = 4
/
ATOMIC_SPECIES
Mo 95.94 Mo.upf
Ga 69.72 Ga.upf
Sr 87.62 Sr.upf
Sc 44.96 Sc.upf
CELL_PARAMETERS angstrom
4.849 0.000 0.000
0.000 5.116 0.000
0.000 0.000 4.849
ATOMIC_POSITIONS angstrom
Mo 2.425 0.000 0.000
Ga 0.000 0.000 0.000
Sr 2.425 2.558 2.425
Sc 0.000 2.558 0.000
Mo 0.000 0.000 2.425
```

space-group type = P4/mmm
ΔE_f = 0.935 eV/atom
total magnetization = 0.000 μB per atom
DOS at the Fermi energy = 5.8 states/eV/f.u.

---

A geometry-optimized ScTaGaMo structure. Source: Alexandria, functional PBE. Values from VASP.

Structure (Quantum ESPRESSO input):
```
&SYSTEM
  ibrav = 0, nat = 4, ntyp = 4
/
ATOMIC_SPECIES
Mo 95.94 Mo.upf
Ta 180.95 Ta.upf
Ga 69.72 Ga.upf
Sc 44.96 Sc.upf
CELL_PARAMETERS angstrom
-2.399 3.549 1.726
-0.542 0.417 4.567
2.182 3.367 2.286
ATOMIC_POSITIONS angstrom
Mo -0.569 5.500 6.434
Ta 0.000 0.000 0.000
Ga -0.190 1.833 2.145
Sc -0.380 3.667 4.289
```

space-group type = F-43m
ΔE_f = -0.174 eV/atom
total magnetization = 0.000 μB per atom
DOS at the Fermi energy = 3.9 states/eV/f.u.